The following is a GGA-PBE calculation of crystalline CsEr2Cu3Te4Se at its relaxed geometry, from the Open Quantum Materials Database.

Cell: 4.3158 15.5598 17.9597 Å, 90.00 90.00 90.00°
Space group Cmcm (No. 63)
Asymmetric unit:
Cs 0.0000 0.0680 0.2500 x4
Er 0.0000 0.1941 0.5976 x8
Cu 0.0000 0.3389 0.2500 x4
Cu 0.0000 0.4175 0.5256 x8
Te 0.0000 0.1664 0.0698 x8
Te 0.0000 0.4418 0.1188 x8
Se 0.0000 0.2367 0.7500 x4

For the total energy, the calculation gives -0.31342 Ry/atom.



The following is a GGA-PBE calculation of crystalline CsEr2CuTe3Se at its relaxed geometry, from the Open Quantum Materials Database.

Cell: 4.3022 15.2338 15.4836 Å, 90.00 90.00 90.00°
Space group Cmcm (No. 63)
Asymmetric unit:
Cs 0.0000 0.1172 0.2500 x4
Er 0.0000 0.3772 0.0606 x8
Cu 0.0000 0.1680 0.7500 x4
Te 0.0000 0.2566 0.6036 x8
Te 0.0000 0.4293 0.2500 x4
Se 0.0000 0.0000 0.0000 x4

The polymorph energy (0 for the lowest one) is 34 meV/atom.



The following is a GGA-PBE calculation of crystalline CsEr2CuTe3Se at its relaxed geometry, from the Open Quantum Materials Database.

Cell: 4.3341 15.3972 15.1086 Å, 90.00 90.00 90.00°
Space group Cmcm (No. 63)
Asymmetric unit:
Cs 0.0000 0.0993 0.2500 x4
Er 0.0000 0.3677 0.0719 x8
Cu 0.0000 0.1615 0.7500 x4
Te 0.0000 0.0000 0.0000 x4
Te 0.0000 0.2626 0.6086 x8
Se 0.0000 0.4209 0.2500 x4

The polymorph energy (0 for the lowest one) is 0 meV/atom.



The following is a GGA-PBE calculation of crystalline CsEr2Cu3TeSe4 at its relaxed geometry, from the Open Quantum Materials Database.

Cell: 4.1692 14.6822 17.6486 Å, 90.00 90.00 90.00°
Space group Cmcm (No. 63)
Asymmetric unit:
Cs 0.0000 0.0523 0.2500 x4
Er 0.0000 0.1892 0.5854 x8
Cu 0.0000 0.3520 0.2500 x4
Cu 0.0000 0.4152 0.5323 x8
Te 0.0000 0.2432 0.7500 x4
Se 0.0000 0.1694 0.0714 x8
Se 0.0000 0.4388 0.1093 x8

For the total energy, the calculation gives -0.33183 Ry/atom.



The following is a GGA-PBE calculation of crystalline CsEr2CuTeSe3 at its relaxed geometry, from the Open Quantum Materials Database.

Cell: 4.2114 14.7467 14.7401 Å, 90.00 90.00 90.00°
Space group Cmcm (No. 63)
Asymmetric unit:
Cs 0.0000 0.1250 0.2500 x4
Er 0.0000 0.3675 0.0557 x8
Cu 0.0000 0.1683 0.7500 x4
Te 0.0000 0.4319 0.2500 x4
Se 0.0000 0.0000 0.0000 x4
Se 0.0000 0.2523 0.6026 x8

For the total energy, the calculation gives -0.35163 Ry/atom.



The following is a GGA-PBE calculation of crystalline CsErCuTe3 at its relaxed geometry, from the Open Quantum Materials Database.

Cell: 10.4941 4.2419 10.7704 Å, 90.00 116.01 90.00°
Space group P2_1/m (No. 11)
Asymmetric unit:
Cs 0.2221 0.2500 0.2491 x2
Er 0.3215 0.7500 0.8561 x2
Cu 0.0831 0.2500 0.5988 x2
Te 0.1155 0.2500 0.8548 x2
Te 0.1961 0.7500 0.5382 x2
Te 0.4809 0.7500 0.1699 x2

For the total energy, the calculation gives -0.29547 Ry/atom.



The following is a GGA-PBE calculation of crystalline Cs2Er4Cu4Te9 at its relaxed geometry, from the Open Quantum Materials Database.

Cell: 15.5688 4.3841 17.6796 Å, 90.00 108.07 90.00°
Space group C2/m (No. 12)
Asymmetric unit:
Cs 0.0342 0.0000 0.2742 x4
Er 0.1530 0.5000 0.5562 x4
Er 0.2278 0.0000 0.0999 x4
Cu 0.0757 0.5000 0.9733 x4
Cu 0.2493 0.0000 0.7359 x4
Te 0.0000 0.0000 0.5000 x2
Te 0.1031 0.5000 0.1269 x4
Te 0.1377 0.0000 0.9224 x4
Te 0.1556 0.5000 0.7268 x4
Te 0.2063 0.5000 0.4006 x4

For the total energy, the calculation gives -0.31371 Ry/atom.



The following is a GGA-PBE calculation of crystalline CsErCuTe3 at its relaxed geometry, from the Open Quantum Materials Database.

Cell: 4.2150 17.5174 11.3349 Å, 90.00 90.00 90.00°
Space group Cmcm (No. 63)
Asymmetric unit:
Cs 0.0000 0.2434 0.2500 x4
Er 0.0000 0.5000 0.0000 x4
Cu 0.0000 0.0346 0.7500 x4
Te 0.0000 0.1200 0.5598 x8
Te 0.0000 0.4403 0.7500 x4

For the total energy, the calculation gives -0.29537 Ry/atom.